Entry 1:
{
  "formula": "TbDy2Hg",
  "functional": "PBE-GGA",
  "state": "relaxed",
  "lattice_angstrom": [[3.602, 0.000, 0.000], [0.000, 3.602, 0.000], [0.000, 0.000, 8.911]],
  "species": ["Tb", "Hg", "Dy", "Dy"],
  "frac_coords": [[0.500, 0.500, 0.500], [0.500, 0.500, 0.000], [0.000, 0.000, 0.777], [0.000, 0.000, 0.223]],
  "final_energy_ev_per_atom": -3.76,
  "polymorph_energy_mev_per_atom": 0.0,
  "spacegroup": "P4/mmm, No. 123",
  "formation_enthalpy_0k_ev_per_atom": -0.229
}

Entry 2:
{
  "formula": "TbDy4Hg5",
  "functional": "PBE-GGA",
  "state": "relaxed",
  "lattice_angstrom": [[-3.085, 0.828, -1.912], [-0.885, -3.613, -0.137], [-9.454, 1.709, 15.993]],
  "species": ["Tb", "Dy", "Dy", "Dy", "Dy", "Hg", "Hg", "Hg", "Hg", "Hg"],
  "frac_coords": [[0.000, 0.000, 0.000], [0.000, 0.000, 0.201], [0.000, 0.000, 0.400], [0.000, 0.000, 0.600], [0.000, 0.000, 0.799], [0.500, 0.500, 0.101], [0.500, 0.500, 0.300], [0.500, 0.500, 0.500], [0.500, 0.500, 0.700], [0.500, 0.500, 0.899]],
  "final_energy_ev_per_atom": -2.94,
  "spacegroup": "P4/mmm, No. 123",
  "formation_enthalpy_0k_ev_per_atom": -0.481
}